Entry 1:
Material: TlAsCl3
Method: DFT, PBE
State: relaxed

a = 4.6536 Å, b = 7.6432 Å, c = 8.6036 Å
α = 80.13°, β = 88.79°, γ = 82.07°
Closest atoms and distances in Å follow each position.
Fractional coordinates of all 10 atoms:
1 Tl 0.0000 0.0000 0.0000  7 Cl 3.18-3.50
2 Tl 0.4929 0.6265 0.5629  7 Cl 3.18-3.49
3 As 0.5047 0.1371 0.4432  2 Cl 2.33-2.36
4 As 0.9888 0.4903 0.1202  2 Cl 2.33-2.36
5 Cl 0.0418 0.3849 0.4496  2 As 2.67-2.82
6 Cl 0.4513 0.2428 0.1137  2 As 2.67-2.82
7 Cl 0.5010 0.0548 0.7170  1 As 2.33
8 Cl 0.5613 0.6867 0.1530  1 As 2.36
9 Cl 0.9322 0.9410 0.4107  1 As 2.36
10 Cl 0.9922 0.5736 0.8465  1 As 2.33

Summary:
SG   P1 (1)



Entry 2:
Material: TlAs3Cl
Method: DFT, PBE
State: relaxed

a = 5.0455 Å, b = 5.0455 Å, c = 5.0455 Å
α = 90.00°, β = 90.00°, γ = 90.00°
Closest atoms and distances in Å follow each position.
Fractional coordinates of all 5 atoms:
1 Tl 0.0000 0.0000 0.0000  12 As 3.57
2 As 0.0000 0.5000 0.5000  2 Cl 2.52
3 As 0.5000 0.0000 0.5000  2 Cl 2.52
4 As 0.5000 0.5000 0.0000  2 Cl 2.52
5 Cl 0.5000 0.5000 0.5000  6 As 2.52

Summary:
SG   Pm-3m (221)



Entry 3:
Material: TlAsCl2
Method: DFT, PBE
State: relaxed

a = 3.6610 Å, b = 3.6610 Å, c = 8.5416 Å
α = 90.00°, β = 90.00°, γ = 90.00°
Closest atoms and distances in Å follow each position.
Fractional coordinates of all 4 atoms:
1 Tl 0.0000 0.0000 0.0000  4 Cl 3.00
2 As 0.5000 0.5000 0.3593  4 Cl 2.68
3 Cl 0.0000 0.0000 0.4398  4 As 2.68
4 Cl 0.5000 0.5000 0.8219  4 Tl 3.00

Summary:
SG   P4mm (99)



Entry 4:
Material: Tl3AsCl7
Method: DFT, PBE
State: relaxed

a = 7.2089 Å, b = 7.2089 Å, c = 8.1783 Å
α = 111.39°, β = 111.39°, γ = 85.44°
Closest atoms and distances in Å follow each position.
Fractional coordinates of all 11 atoms:
1 Tl 0.0000 0.0000 0.0000  1 Cl 2.84
2 Tl 0.2648 0.7262 0.4839  2 Cl 2.93-3.27
3 Tl 0.7262 0.2648 0.4839  2 Cl 2.93-3.27
4 As 0.5068 0.5068 0.0075  6 Cl 2.39-2.46
5 Cl 0.0484 0.0484 0.3741  3 Tl 2.84-2.93
6 Cl 0.1847 0.5384 0.7949  1 As 2.39
7 Cl 0.3456 0.3456 0.1434  1 As 2.46
8 Cl 0.4786 0.8300 0.2349  1 As 2.44
9 Cl 0.5384 0.1847 0.7949  1 As 2.39
10 Cl 0.6620 0.6620 0.8732  1 As 2.39
11 Cl 0.8300 0.4786 0.2349  1 As 2.44

Summary:
SG   Cm (8)



Number 1: uncorrected formation energy -605 meV per atom. Number 2: uncorrected formation energy 875 meV per atom. Number 3: uncorrected formation energy -152 meV per atom. Number 4: uncorrected formation energy -767 meV per atom.